VASP calculation (PBE with a Hubbard U) on NdVCdO5 after structural relaxation.

```
NdVCdO5
1.0
4.305 -4.589 0.000
4.305 4.589 0.000
-4.004 0.000 7.416
Nd V Cd O
2 2 2 10
Cartesian
0.000 0.000 0.000
-2.002 0.000 3.708
1.302 1.288 5.562
3.304 -1.288 1.854
3.304 1.626 1.854
1.302 -1.626 5.562
3.304 3.669 1.854
0.523 2.276 6.744
2.081 2.276 4.379
0.142 0.175 4.807
2.144 -0.175 1.100
2.462 0.175 6.316
4.464 -0.175 2.608
2.525 -2.276 3.036
4.083 -2.276 0.671
1.302 -3.669 5.562
```

***

VASP calculation (PBE with a Hubbard U) on Li3FeIrO5 after structural relaxation.

```
Li3FeIrO5
1.0
5.181 0.000 0.000
-1.754 5.723 0.000
-0.874 -1.956 6.357
Li Fe Ir O
6 2 2 10
Cartesian
0.000 0.000 0.000
-0.877 2.862 0.000
-0.049 1.517 2.554
-0.138 2.991 5.165
2.691 0.776 1.191
2.602 2.250 3.803
-0.885 4.330 2.461
3.438 -0.563 3.896
0.844 0.187 5.142
1.709 3.580 1.215
-0.858 1.137 4.448
-1.745 4.181 4.414
0.882 1.816 0.624
0.003 4.633 0.711
1.687 0.365 3.287
0.866 3.402 3.070
2.551 -0.866 5.646
1.671 1.951 5.733
4.298 -0.414 1.942
3.411 2.630 1.909
```

***

Number 1: total energy -55.08 eV per formula unit, D(E_F) 0.0 states/eV/cell, theoretical density 4.39 g/cm³. Number 2: total energy -60.11 eV per formula unit, D(E_F) 6.0 states/eV/cell, theoretical density 6.15 g/cm³.